This record from Alexandria describes an optimized crystal structure of CsMoN2F. The functional is PBE+U.

Calculated values
- density (g cm⁻³) = 4.77
- energy relative to the lowest polymorph listed for this composition (meV/atom) = 2503.7
- total magnetic moment (μB per formula unit) = 0.62

a b c (Å): 4.437 4.437 4.882
angles (deg): 90.00 90.00 90.00
Space group P4/mmm (No. 123)
One atom of each set of equivalent atoms:
1 Cs 0.000 0.000 0.000
2 Mo 0.500 0.500 0.500
3 N 0.000 0.500 0.000
4 F 0.000 0.000 0.500